Entry from the Alexandria database: an optimized crystal structure of Y2B2As (PBE).

Cell: 7.516 7.516 3.630 Å, 90.00 90.00 90.00°
Fractional positions:
Y 0.182 0.318 0.000
Y 0.318 0.818 0.000
Y 0.682 0.182 0.000
Y 0.818 0.682 0.000
B 0.073 0.573 0.500
B 0.427 0.073 0.500
B 0.573 0.927 0.500
B 0.927 0.427 0.500
As 0.000 0.000 0.000
As 0.500 0.500 0.000

## Properties
Calculated volume ... 20.51 A^3/atom
ΔH_f (0 K) ... -0.12 eV per atom
Polymorph energy (0 for the lowest one) ... 0.00 kJ/mol of atoms